Entry 1:
Computed, not measured: a relaxed structure of Ce2Pm3NdHo6 at the PBE-GGA level of DFT.

Output
- ΔH_f (0 K): 0.6 eV per formula unit
- Final energy: -4.817 eV per atom
- Space-group type: No. 12

a = 6.1887 Å, b = 6.1887 Å, c = 11.7355 Å
α = 95.04°, β = 95.04°, γ = 120.00°
Last column: nearest neighbours and their distance in Å.
Fractional positions:
Ho  0.9171  0.5813  0.7525  2 Ce 3.52, 1 Nd 3.54, 6 Ho 3.56-3.60, 3 Pm 3.57-3.58
Ho  0.0829  0.4187  0.2475  2 Ce 3.52, 1 Nd 3.54, 6 Ho 3.56-3.60, 3 Pm 3.57-3.58
Ho  0.7470  0.7470  0.2476  2 Ce 3.52, 1 Nd 3.53, 6 Ho 3.56-3.60, 3 Pm 3.56-3.57
Ho  0.4187  0.0829  0.2475  2 Ce 3.52, 1 Nd 3.54, 6 Ho 3.56-3.60, 3 Pm 3.57-3.58
Ho  0.2530  0.2530  0.7524  2 Ce 3.52, 1 Nd 3.53, 6 Ho 3.56-3.60, 3 Pm 3.56-3.57
Ho  0.5813  0.9171  0.7525  2 Ce 3.52, 1 Nd 3.54, 6 Ho 3.56-3.60, 3 Pm 3.57-3.58
Ce  0.6667  0.3333  0.0000  6 Ho 3.52, 3 Ce 3.57, 3 Nd 3.57
Ce  0.3333  0.6667  0.0000  6 Ho 3.52, 3 Ce 3.57, 3 Nd 3.57
Nd  0.0000  0.0000  0.0000  6 Ho 3.53-3.54, 6 Ce 3.57
Pm  0.8339  0.1661  0.5000  6 Pm 3.56-3.58, 6 Ho 3.57-3.58
Pm  0.5000  0.5000  0.5000  6 Ho 3.56-3.58, 6 Pm 3.57-3.58
Pm  0.1661  0.8339  0.5000  6 Pm 3.56-3.58, 6 Ho 3.57-3.58

Entry 2:
Computed, not measured: a relaxed structure of SbAsIr2 at the PBE-GGA level of DFT.

Output
- Formation energy (no corrections): 0.09 eV per atom
- Final energy: -6.531 eV per atom
- Space-group type: No. 122
- Distance to the lowest polymorph of the same formula: 0.251 eV per atom

a = 5.6609 Å, b = 5.6609 Å, c = 7.0586 Å
α = 66.36°, β = 66.36°, γ = 90.00°
Last column: nearest neighbours and their distance in Å.
Fractional positions:
As  0.5000  0.5000  0.0000  4 Ir 2.38
As  0.2500  0.7500  0.5000  4 Ir 2.38
Ir  0.1557  0.6250  0.2500  2 As 2.38, 2 Sb 2.58
Ir  0.8750  0.8443  0.7500  2 As 2.38, 2 Sb 2.58
Ir  0.5943  0.1250  0.2500  2 As 2.38, 2 Sb 2.58
Ir  0.3750  0.4057  0.7500  2 As 2.38, 2 Sb 2.58
Sb  0.7500  0.2500  0.5000  4 Ir 2.58
Sb  0.0000  0.0000  0.0000  4 Ir 2.58

Q: Among the records above, which one has the lowest final energy?
A: SbAsIr2

Q: The highest final energy belongs to which entry?
A: Ce2Pm3NdHo6